The following is a PBE calculation of an optimized crystal structure of TmTaNi10, from the Alexandria database.

Values from the calculation:
DFT formation energy (eV per atom): -0.194

The structure in CIF format:
```
data_TmTaNi10
_cell_length_a 3.965
_cell_length_b 4.738
_cell_length_c 8.205
_cell_angle_alpha 90.00
_cell_angle_beta 90.00
_cell_angle_gamma 90.00
_symmetry_space_group_name_H-M 'P m m m'
_symmetry_Int_Tables_number 47
loop_
_symmetry_equiv_pos_as_xyz
'x,y,z'
'-x,-y,-z'
'-x,-y,z'
'x,y,-z'
'x,-y,-z'
'-x,y,z'
'-x,y,-z'
'x,-y,z'
loop_
_atom_site_label
_atom_site_type_symbol
_atom_site_fract_x
_atom_site_fract_y
_atom_site_fract_z
Tm1 Tm 0.000 0.000 0.000
Ta1 Ta 0.000 0.500 0.500
Ni1 Ni 0.000 0.000 0.342
Ni2 Ni 0.000 0.500 0.179
Ni3 Ni 0.500 0.000 0.500
Ni4 Ni 0.500 0.255 0.259
Ni5 Ni 0.500 0.500 0.000
```